No. 1
Here is KPmHgF6 after structural relaxation from Alexandria. Energies are from PBE.

The space group is P-31c (No. 163) and the conventional cell measures 6.3156, 6.3156 and 10.3606 Å, with angles of 90.00, 90.00 and 120.00 degrees. The inequivalent atoms are K at (0.0000, 0.0000, 0.0000), Pm at (0.3333, 0.6667, 0.2500), Hg at (0.3333, 0.6667, 0.7500) and F at (0.0086, 0.3691, 0.1387).

Its density of states at the Fermi level is 0.000 states/eV/f.u. As for the total energy: -4.80 eV/atom.



No. 2
Here is K2PmHgF8 after structural relaxation from Alexandria. Energies are from PBE.

The space group is P-1 (No. 2) and the conventional cell measures 4.036, 6.250 and 8.102 Å, with angles of 86.38, 89.78 and 86.98 degrees. The inequivalent atoms are K at (0.001, 0.000, 0.250), Pm at (0.500, 0.500, 0.000), Hg at (0.500, 0.500, 0.500), F at (0.001, 0.294, 0.977), F at (0.074, 0.709, 0.514), F at (0.465, 0.314, 0.736) and F at (0.476, 0.264, 0.227).

Its density of states at the Fermi level is 0.372 states/eV/f.u. As for the total energy: -4.54 eV/atom.



No. 3
Here is KPrHgF6 after structural relaxation from Alexandria. Energies are from PBE.

The space group is P-31c (No. 163) and the conventional cell measures 6.3914, 6.3914 and 10.2095 Å, with angles of 90.00, 90.00 and 120.00 degrees. The inequivalent atoms are K at (0.0000, 0.0000, 0.0000), Pr at (0.3333, 0.6667, 0.2500), Hg at (0.3333, 0.6667, 0.7500) and F at (0.0034, 0.3648, 0.1375).

Its density of states at the Fermi level is 0.000 states/eV/f.u. As for the total energy: -4.78 eV/atom.



No. 4
Here is K2PrHgF8 after structural relaxation from Alexandria. Energies are from PBE.

The space group is P-1 (No. 2) and the conventional cell measures 4.092, 6.243 and 8.127 Å, with angles of 86.69, 89.72 and 86.69 degrees. The inequivalent atoms are K at (0.000, 0.001, 0.253), Pr at (0.500, 0.500, 0.000), Hg at (0.500, 0.500, 0.500), F at (0.003, 0.289, 0.979), F at (0.077, 0.707, 0.512), F at (0.462, 0.310, 0.734) and F at (0.474, 0.265, 0.233).

Its density of states at the Fermi level is 0.619 states/eV/f.u. As for the total energy: -4.53 eV/atom.